Entry 1:
The following is a DFT calculation (PBE) of an optimized crystal structure of K4Y3MnTe8.

```
K4Y3MnTe8
1.0
4.430 2.558 8.239
-4.430 2.558 8.239
0.000 -5.115 8.239
K Y Mn Te
4 3 1 8
Cartesian
0.000 0.000 0.000
-2.215 -1.279 8.239
-2.215 1.279 16.478
0.000 2.558 8.239
-4.430 0.000 12.359
-2.215 1.279 4.120
2.215 1.279 4.120
0.000 0.000 12.359
0.000 0.000 5.863
-2.100 -1.212 14.004
0.000 -2.425 10.713
-2.100 1.212 10.713
2.100 -1.212 14.004
0.000 2.425 14.004
2.100 1.212 10.713
0.000 0.000 18.854
```

Calculated values
- electronic total energy (eV per atom) = -4.782
- density of states at the Fermi level (states/eV/f.u.) = 4.06
- raw formation energy (eV/atom) = -1.15



Entry 2:
The following is a DFT calculation (PBE) of an optimized crystal structure of AcMgH6Pd4.

```
AcMgH6Pd4
1.0
4.834 0.000 0.000
-2.417 4.187 0.000
0.000 0.000 7.163
Ac Mg H Pd
1 1 6 4
Cartesian
0.000 0.000 0.000
0.000 0.000 3.581
-1.209 2.093 1.171
-1.209 2.093 5.992
2.417 0.000 1.171
2.417 0.000 5.992
1.209 2.093 1.171
1.209 2.093 5.992
0.000 2.791 2.237
0.000 2.791 4.926
2.417 1.396 2.237
2.417 1.396 4.926
```

Calculated values
- electronic total energy (eV per atom) = -4.236
- density of states at the Fermi level (states/eV/f.u.) = 3.80



Entry 3:
The following is a DFT calculation (PBE) of an optimized crystal structure of Rb12Ba3Au5.

```
Rb12Ba3Au5
1.0
-11.386 11.386 11.386
11.386 -11.386 11.386
11.386 11.386 -11.386
Rb Ba Au
48 12 20
Cartesian
3.115 -1.051 1.125
13.964 6.818 -6.744
10.334 -1.125 3.115
18.130 -2.578 4.568
1.125 3.115 -1.051
15.953 4.641 -2.578
14.500 1.051 1.125
13.964 -4.568 6.744
6.818 6.744 -2.578
10.261 3.115 1.051
-1.051 1.125 3.115
6.744 -2.578 6.818
10.334 10.261 -3.115
6.744 2.578 4.568
10.261 -3.115 10.334
6.818 -6.744 13.964
3.115 10.334 -1.125
13.964 4.568 4.641
4.568 6.744 2.578
12.511 8.271 1.051
6.744 13.964 -4.568
10.334 1.125 8.271
2.578 4.568 6.744
3.115 1.051 10.261
8.271 10.334 1.125
8.808 6.818 4.641
1.051 10.261 3.115
4.641 -2.578 15.953
-1.125 3.115 10.334
6.818 4.641 8.808
-2.578 6.818 6.744
8.271 1.051 12.511
4.568 18.130 -2.578
1.125 14.500 1.051
4.641 8.808 6.818
1.051 1.125 14.500
4.641 13.964 4.568
12.437 10.261 8.271
1.125 8.271 10.334
4.568 4.641 13.964
-2.578 15.953 4.641
-3.115 10.334 10.261
-4.568 6.744 13.964
10.261 8.271 12.437
-6.744 13.964 6.818
1.051 12.511 8.271
-2.578 4.568 18.130
8.271 12.437 10.261
5.693 2.846 0.000
11.386 5.693 -2.846
2.846 0.000 5.693
14.232 0.000 5.693
0.000 5.693 2.846
5.693 -2.846 11.386
5.693 14.232 0.000
11.386 5.693 8.539
-2.846 11.386 5.693
8.539 11.386 5.693
0.000 5.693 14.232
5.693 8.539 11.386
0.000 0.000 0.000
5.693 5.693 -5.693
5.693 -5.693 5.693
11.386 0.000 0.000
17.079 2.846 0.000
11.386 -5.693 8.539
8.539 11.386 -5.693
8.539 0.000 5.693
5.693 8.539 0.000
11.386 5.693 2.846
-5.693 5.693 5.693
0.000 11.386 0.000
0.000 0.000 11.386
5.693 5.693 5.693
0.000 5.693 8.539
5.693 2.846 11.386
2.846 11.386 5.693
2.846 0.000 17.079
0.000 17.079 2.846
-5.693 8.539 11.386
```

Calculated values
- electronic total energy (eV per atom) = -1.592
- density of states at the Fermi level (states/eV/f.u.) = 27.59
- E_form (eV per atom) = 0.0966



Entry 4:
The following is a DFT calculation (PBE) of an optimized crystal structure of LiPmTl3.

```
LiPmTl3
1.0
5.075 0.000 0.000
0.000 5.075 0.000
0.000 0.000 5.075
Li Pm Tl
1 1 3
Cartesian
0.000 0.000 0.000
2.538 2.538 2.538
0.000 0.000 2.538
0.000 2.538 0.000
2.538 0.000 0.000
```

Calculated values
- electronic total energy (eV per atom) = -2.833
- density of states at the Fermi level (states/eV/f.u.) = 4.17
- E_form (eV per atom) = -0.0802



Entry 5:
The following is a DFT calculation (PBE) of an optimized crystal structure of RbCu2SiTe4.

```
RbCu2SiTe4
1.0
6.945 0.000 0.000
0.000 8.722 0.000
0.000 0.000 9.120
Rb Cu Si Te
2 4 2 8
Cartesian
0.000 0.000 0.000
3.472 4.361 4.560
0.000 4.361 1.245
0.000 4.361 7.875
3.472 0.000 3.315
3.472 0.000 5.806
0.000 0.000 4.560
3.472 4.361 0.000
1.500 1.504 3.169
1.500 7.218 5.951
1.972 2.857 7.729
1.972 5.865 1.391
4.973 2.857 1.391
4.973 5.865 7.729
5.444 1.504 5.951
5.444 7.218 3.169
```

Calculated values
- electronic total energy (eV per atom) = -3.577
- density of states at the Fermi level (states/eV/f.u.) = 6.89
- raw formation energy (eV/atom) = -0.18



Entry 6:
The following is a DFT calculation (PBE) of an optimized crystal structure of Sn2BiCl8.

```
Sn2BiCl8
1.0
6.275 -4.567 0.000
6.275 4.567 0.000
-2.439 0.000 6.628
Sn Bi Cl
2 1 8
Cartesian
1.385 0.000 1.442
8.725 0.000 5.186
6.275 0.000 0.000
-1.030 0.000 5.548
2.690 1.866 5.014
4.051 0.000 1.551
7.420 1.866 1.614
2.690 -1.866 5.014
6.059 0.000 5.077
7.420 -1.866 1.614
11.140 0.000 1.080
```

Calculated values
- electronic total energy (eV per atom) = -3.321
- density of states at the Fermi level (states/eV/f.u.) = 5.22
- raw formation energy (eV/atom) = -0.90